Record 1
Density functional theory data (PBE) for a geometry-optimized CaPu4Te5 structure.

Values from the calculation:
- Formation energy without anion corrections: -110.7 kJ/mol of atoms

Unit cell a=4.432 b=6.299 c=11.833 alpha=105.44 beta=100.79 gamma=90.00
Sites, in units of the cell vectors:
Pu  0.798  0.798  0.596
Pu  0.600  0.600  0.199
Pu  0.202  0.202  0.404
Pu  0.400  0.400  0.801
Te  0.200  0.700  0.399
Te  0.601  0.101  0.201
Te  0.000  0.500  0.000
Te  0.800  0.300  0.601
Te  0.399  0.899  0.799
Ca  0.000  0.000  0.000



Record 2
Density functional theory data (PBE) for a geometry-optimized CaPuTe2 structure.

Values from the calculation:
- Formation energy without anion corrections: -121.0 kJ/mol of atoms
- ΔE to the lowest computed polymorph: 99 meV/atom

Unit cell a=4.387 b=4.387 c=8.175 alpha=74.44 beta=74.44 gamma=60.00
Sites, in units of the cell vectors:
Pu  0.668  0.668  0.995
Te  0.252  0.252  0.244
Te  0.082  0.082  0.755
Ca  0.498  0.498  0.506



Record 3
Density functional theory data (PBE) for a geometry-optimized CaPu2Te4 structure.

Values from the calculation:
- Formation energy without anion corrections: -113.1 kJ/mol of atoms
- ΔE to the lowest computed polymorph: 0 meV/atom

Unit cell a=8.157 b=8.157 c=8.157 alpha=109.75 beta=108.92 gamma=109.75
Sites, in units of the cell vectors:
Pu  0.502  0.377  0.625
Pu  0.875  0.123  0.498
Pu  0.375  0.877  0.752
Pu  0.248  0.623  0.125
Te  0.770  0.251  0.870
Te  0.619  0.749  0.519
Te  0.620  0.751  0.020
Te  0.481  0.100  0.230
Te  0.269  0.249  0.869
Te  0.130  0.900  0.381
Te  0.980  0.600  0.731
Te  0.131  0.400  0.380
Ca  0.000  0.000  0.000
Ca  0.750  0.500  0.250



Record 4
Density functional theory data (PBE) for a geometry-optimized CaPuTe2 structure.

Values from the calculation:
- Formation energy without anion corrections: -130.5 kJ/mol of atoms
- ΔE to the lowest computed polymorph: 0 meV/atom

Unit cell a=4.477 b=4.477 c=22.038 alpha=90.00 beta=90.00 gamma=120.00
Sites, in units of the cell vectors:
Te  0.667  0.333  0.584
Te  0.333  0.667  0.918
Te  0.333  0.667  0.416
Te  0.000  0.000  0.248
Te  0.000  0.000  0.752
Te  0.667  0.333  0.082
Pu  0.333  0.667  0.163
Pu  0.000  0.000  0.000
Pu  0.667  0.333  0.837
Ca  0.667  0.333  0.332
Ca  0.000  0.000  0.500
Ca  0.333  0.667  0.668



Record 5
Density functional theory data (PBE) for a geometry-optimized Ca3Pu2ThTe6 structure.

Values from the calculation:
- Formation energy without anion corrections: -125.9 kJ/mol of atoms

Unit cell a=4.427 b=9.070 c=10.068 alpha=104.27 beta=102.70 gamma=90.00
Sites, in units of the cell vectors:
Te  0.999  0.253  0.998
Te  0.333  0.419  0.666
Te  0.667  0.080  0.334
Te  0.001  0.747  0.002
Te  0.333  0.920  0.666
Te  0.667  0.581  0.334
Ca  0.167  0.830  0.334
Ca  0.500  0.500  0.000
Ca  0.833  0.170  0.666
Pu  0.834  0.670  0.668
Pu  0.166  0.330  0.332
Th  0.500  0.000  0.000



Record 6
Density functional theory data (PBE) for a geometry-optimized Ca3Y3PuTe8 structure.

Values from the calculation:
- Formation energy without anion corrections: -138.1 kJ/mol of atoms

Unit cell a=8.797 b=8.796 c=8.916 alpha=119.56 beta=90.00 gamma=120.00
Sites, in units of the cell vectors:
Ca  0.500  0.500  0.000
Ca  0.000  0.500  0.000
Ca  0.000  0.000  0.000
Te  0.260  0.006  0.252
Te  0.740  0.994  0.748
Te  0.252  0.503  0.255
Te  0.748  0.497  0.745
Te  0.254  0.994  0.748
Te  0.254  0.509  0.749
Te  0.746  0.491  0.251
Te  0.746  0.006  0.252
Y  0.000  0.500  0.500
Y  0.500  0.000  0.500
Y  0.500  0.500  0.500
Pu  0.000  0.000  0.500



Record 7
Density functional theory data (PBE) for a geometry-optimized Ca3Y2PuTe6 structure.

Values from the calculation:
- Formation energy without anion corrections: -137.6 kJ/mol of atoms

Unit cell a=4.417 b=8.954 c=9.978 alpha=103.77 beta=102.79 gamma=90.00
Sites, in units of the cell vectors:
Ca  0.500  0.500  0.000
Ca  0.835  0.167  0.669
Ca  0.165  0.833  0.331
Y  0.835  0.669  0.669
Y  0.165  0.331  0.331
Te  0.331  0.420  0.663
Te  0.999  0.748  0.997
Te  0.001  0.252  0.003
Te  0.668  0.087  0.336
Te  0.669  0.580  0.337
Te  0.332  0.913  0.664
Pu  0.500  0.000  0.000



Record 8
Density functional theory data (PBE) for a geometry-optimized CaY2PuTe4 structure.

Values from the calculation:
- Formation energy without anion corrections: -129.2 kJ/mol of atoms

Unit cell a=6.236 b=6.236 c=7.646 alpha=114.06 beta=114.07 gamma=90.00
Sites, in units of the cell vectors:
Te  0.751  0.751  0.502
Te  0.498  0.998  0.996
Te  0.249  0.249  0.498
Te  0.002  0.502  0.004
Y  0.250  0.750  0.500
Y  0.000  0.000  0.000
Ca  0.500  0.500  0.000
Pu  0.750  0.250  0.500



Record 9
Density functional theory data (PBE) for a geometry-optimized Ca4Y3PuTe8 structure.

Values from the calculation:
- Formation energy without anion corrections: -138.8 kJ/mol of atoms

Unit cell a=8.832 b=8.940 c=8.833 alpha=119.60 beta=120.00 gamma=90.00
Sites, in units of the cell vectors:
Ca  0.000  0.000  0.500
Ca  0.000  0.000  0.000
Ca  0.500  0.000  0.500
Ca  0.500  0.000  0.000
Te  0.251  0.747  0.996
Te  0.254  0.253  0.004
Te  0.252  0.255  0.503
Te  0.749  0.253  0.498
Te  0.748  0.745  0.497
Te  0.746  0.747  0.996
Te  0.749  0.253  0.004
Te  0.251  0.747  0.502
Y  0.000  0.500  0.500
Y  0.500  0.500  0.500
Y  0.500  0.500  0.000
Pu  0.000  0.500  0.000



Record 10
Density functional theory data (PBE) for a geometry-optimized CaPuTh2 structure.

Values from the calculation:
- ΔE_f: 0.83 eV/atom

Unit cell a=3.753 b=3.753 c=10.730 alpha=79.93 beta=79.93 gamma=60.00
Sites, in units of the cell vectors:
Th  0.887  0.887  0.339
Th  0.113  0.113  0.661
Pu  0.500  0.500  0.500
Ca  0.000  0.000  0.000



Record 11
Density functional theory data (PBE) for a geometry-optimized CaPuTl structure.

Values from the calculation:
- ΔE_f: 0.06 eV/atom
- ΔE to the lowest computed polymorph: 0 meV/atom

Unit cell a=3.446 b=5.455 c=5.455 alpha=120.00 beta=90.00 gamma=90.00
Sites, in units of the cell vectors:
Pu  0.294  0.667  0.333
Tl  0.007  0.000  0.000
Ca  0.699  0.333  0.667



Record 12
Density functional theory data (PBE) for a geometry-optimized Ca3PuTl4 structure.

Values from the calculation:
- ΔE_f: -0.32 eV/atom

Unit cell a=3.813 b=3.813 c=16.000 alpha=90.00 beta=90.00 gamma=90.00
Sites, in units of the cell vectors:
Tl  0.000  0.000  0.626
Tl  0.000  0.000  0.126
Tl  0.000  0.000  0.374
Tl  0.000  0.000  0.874
Pu  0.500  0.500  0.000
Ca  0.500  0.500  0.251
Ca  0.500  0.500  0.500
Ca  0.500  0.500  0.749



Respective VASP energy values: -8.65, -6.91, -7.35, -7.01, -6.38, -5.75, -5.77, -6.57, -5.62, -6.97, -6.17, -4.04 eV per atom.
Respective total moment values: 0.00, 6.00, 19.99, 17.77, 12.26, 5.78, 6.26, 5.97, 6.20, 0.21, 5.99, 5.92 Bohr magnetons per cell.
Respective calculated density values: 8.79, 6.91, 8.26, 7.02, 6.99, 5.59, 5.82, 6.65, 5.66, 9.69, 9.13, 8.44 g/cm3.